PBEsol ZnCuPt2, optimized geometry; ΔE_f = -0.36 eV per atom
1.0
-2.652 -0.136 -0.846
-0.880 -1.555 3.009
-0.988 4.990 2.290
Zn Pt Cu
1 2 1
Cartesian
-1.766 -0.846 1.081 Zn
-0.249 1.259 0.578 Pt
-0.739 3.731 1.713 Pt
-2.260 1.649 2.227 Cu